No. 1
! LaCr4Cu | Alexandria | PBE-GGA | relaxed; values from VASP
&SYSTEM
  ibrav = 0, nat = 6, ntyp = 3
/
ATOMIC_SPECIES
Cr 52.00 Cr.upf
La 138.91 La.upf
Cu 63.55 Cu.upf
ATOMIC_POSITIONS crystal
Cr 0.623 0.623 0.623
Cr 0.131 0.623 0.623
Cr 0.623 0.623 0.131
Cr 0.623 0.131 0.623
La 0.000 0.000 0.000
Cu 0.250 0.250 0.250
CELL_PARAMETERS angstrom
0.000 3.574 3.574
3.574 0.000 3.574
3.574 3.574 0.000
! - VASP energy (eV/cell) = -43.614
! - energy of formation from the pure elements (kJ/mol of formula units) = 376.6
! - volume (Å³ per atom) = 15.219
! - symmetry = No. 216

No. 2
! Mo3Br | Alexandria | PBE-GGA | relaxed; values from VASP
&SYSTEM
  ibrav = 0, nat = 4, ntyp = 2
/
ATOMIC_SPECIES
Br 79.90 Br.upf
Mo 95.94 Mo.upf
ATOMIC_POSITIONS crystal
Br 0.000 0.000 0.000
Mo 0.250 0.750 0.500
Mo 0.500 0.500 0.000
Mo 0.750 0.250 0.500
CELL_PARAMETERS angstrom
-1.180 0.966 -5.093
0.345 -3.921 -3.574
-2.130 0.828 4.801
! - VASP energy (eV/cell) = -30.136
! - volume (Å³ per atom) = 16.393
! - symmetry = No. 139